# Sm3DyTh2P6 | Alexandria via LeMat-Bulk | PBE-GGA | relaxed
# Space group: C2/m
# Energy, Ry per atom: -0.521
# Formation energy, eV/atom: -1.589
data_Sm3DyTh2P6
_space_group_name_H-M_alt 'P 1'
_space_group_IT_number 1
_cell_length_a 4.112
_cell_length_b 8.202
_cell_length_c 9.182
_cell_angle_alpha 102.97
_cell_angle_beta 102.94
_cell_angle_gamma 90.00
loop_
_space_group_symop_operation_xyz
'x,y,z'
loop_
_atom_site_label
_atom_site_type_symbol
_atom_site_fract_x
_atom_site_fract_y
_atom_site_fract_z
P1 P 0.000 0.246 0.000
P2 P 0.665 0.082 0.330
P3 P 0.333 0.417 0.666
P4 P 0.667 0.583 0.334
P5 P 0.000 0.754 0.000
P6 P 0.335 0.918 0.670
Sm1 Sm 0.166 0.834 0.332
Sm2 Sm 0.500 0.500 0.000
Sm3 Sm 0.834 0.166 0.668
Th1 Th 0.835 0.670 0.671
Th2 Th 0.165 0.330 0.329
Dy1 Dy 0.500 0.000 0.000

***

# CaAcDy4 | Alexandria via LeMat-Bulk | PBE-GGA | relaxed
# Space group: F-43m
# Energy, Ry per atom: -0.286
# Formation energy, eV/atom: 0.197
data_CaAcDy4
_space_group_name_H-M_alt 'P 1'
_space_group_IT_number 1
_cell_length_a 6.779
_cell_length_b 6.779
_cell_length_c 6.779
_cell_angle_alpha 60.00
_cell_angle_beta 60.00
_cell_angle_gamma 60.00
loop_
_space_group_symop_operation_xyz
'x,y,z'
loop_
_atom_site_label
_atom_site_type_symbol
_atom_site_fract_x
_atom_site_fract_y
_atom_site_fract_z
Dy1 Dy 0.126 0.625 0.625
Dy2 Dy 0.625 0.625 0.126
Dy3 Dy 0.625 0.126 0.625
Dy4 Dy 0.625 0.625 0.625
Ac1 Ac 0.250 0.250 0.250
Ca1 Ca 0.000 0.000 0.000

***

# LaRe2AgO8 | Alexandria via LeMat-Bulk | PBE-GGA | relaxed
# Uncorrected formation energy, eV/f.u.: -20.5
# Space group: P-3
# Energy, Ry per atom: -0.569
data_LaRe2AgO8
_space_group_name_H-M_alt 'P 1'
_space_group_IT_number 1
_cell_length_a 6.652
_cell_length_b 6.652
_cell_length_c 6.642
_cell_angle_alpha 90.00
_cell_angle_beta 90.00
_cell_angle_gamma 120.00
loop_
_space_group_symop_operation_xyz
'x,y,z'
loop_
_atom_site_label
_atom_site_type_symbol
_atom_site_fract_x
_atom_site_fract_y
_atom_site_fract_z
Re1 Re 0.667 0.333 0.244
Re2 Re 0.333 0.667 0.756
O1 O 0.627 0.812 0.675
O2 O 0.185 0.373 0.675
O3 O 0.333 0.667 0.018
O4 O 0.667 0.333 0.982
O5 O 0.815 0.627 0.325
O6 O 0.812 0.185 0.325
O7 O 0.373 0.188 0.325
O8 O 0.188 0.815 0.675
Ag1 Ag 0.000 0.000 0.000
La1 La 0.000 0.000 0.500

***

# Cs4Ta | Alexandria via LeMat-Bulk | PBE-GGA | relaxed
# Space group: Pm-3m
# Energy, Ry per atom: -0.142
# Formation energy, eV/atom: 1.125
data_Cs4Ta
_space_group_name_H-M_alt 'P 1'
_space_group_IT_number 1
_cell_length_a 7.552
_cell_length_b 7.552
_cell_length_c 7.552
_cell_angle_alpha 90.00
_cell_angle_beta 90.00
_cell_angle_gamma 90.00
loop_
_space_group_symop_operation_xyz
'x,y,z'
loop_
_atom_site_label
_atom_site_type_symbol
_atom_site_fract_x
_atom_site_fract_y
_atom_site_fract_z
Ta1 Ta 0.500 0.500 0.500
Cs1 Cs 0.500 0.000 0.500
Cs2 Cs 0.500 0.500 0.000
Cs3 Cs 0.000 0.000 0.000
Cs4 Cs 0.000 0.500 0.500

***

# Cd2SbNCl | Alexandria via LeMat-Bulk | PBE-GGA | relaxed
# Uncorrected formation energy, eV/f.u.: 2.2
# Space group: P4/mmm
# Energy, Ry per atom: -0.204
data_Cd2SbNCl
_space_group_name_H-M_alt 'P 1'
_space_group_IT_number 1
_cell_length_a 4.661
_cell_length_b 5.153
_cell_length_c 4.661
_cell_angle_alpha 90.00
_cell_angle_beta 90.00
_cell_angle_gamma 90.00
loop_
_space_group_symop_operation_xyz
'x,y,z'
loop_
_atom_site_label
_atom_site_type_symbol
_atom_site_fract_x
_atom_site_fract_y
_atom_site_fract_z
Sb1 Sb 0.000 0.500 0.000
Cd1 Cd 0.500 0.000 0.000
Cd2 Cd 0.000 0.000 0.500
N1 N 0.000 0.000 0.000
Cl1 Cl 0.500 0.500 0.500

***

# ZnNi2MoC | Alexandria via LeMat-Bulk | PBE-GGA | relaxed
# Space group: P4/mmm
# Energy, Ry per atom: -0.479
# Formation energy, eV/atom: 0.062
data_ZnNi2MoC
_space_group_name_H-M_alt 'P 1'
_space_group_IT_number 1
_cell_length_a 3.804
_cell_length_b 3.804
_cell_length_c 4.125
_cell_angle_alpha 90.00
_cell_angle_beta 90.00
_cell_angle_gamma 90.00
loop_
_space_group_symop_operation_xyz
'x,y,z'
loop_
_atom_site_label
_atom_site_type_symbol
_atom_site_fract_x
_atom_site_fract_y
_atom_site_fract_z
C1 C 0.000 0.000 0.000
Zn1 Zn 0.500 0.500 0.500
Ni1 Ni 0.000 0.500 0.000
Ni2 Ni 0.500 0.000 0.000
Mo1 Mo 0.000 0.000 0.500

***

# NdYTc | Alexandria via LeMat-Bulk | PBE-GGA | relaxed
# Space group: Cmce
# Energy, Ry per atom: -0.522
# Formation energy, eV/atom: 0.093
# Offset from the most stable computed form, kJ per mole of atoms: 3.4
data_NdYTc
_space_group_name_H-M_alt 'P 1'
_space_group_IT_number 1
_cell_length_a 7.054
_cell_length_b 7.131
_cell_length_c 7.691
_cell_angle_alpha 90.00
_cell_angle_beta 90.00
_cell_angle_gamma 119.64
loop_
_space_group_symop_operation_xyz
'x,y,z'
loop_
_atom_site_label
_atom_site_type_symbol
_atom_site_fract_x
_atom_site_fract_y
_atom_site_fract_z
Y1 Y 0.292 0.084 0.250
Y2 Y 0.208 0.916 0.750
Y3 Y 0.792 0.084 0.250
Y4 Y 0.708 0.916 0.750
Nd1 Nd 0.803 0.605 0.387
Nd2 Nd 0.697 0.395 0.887
Nd3 Nd 0.303 0.605 0.113
Nd4 Nd 0.197 0.395 0.613
Tc1 Tc 0.903 0.807 0.037
Tc2 Tc 0.597 0.193 0.537
Tc3 Tc 0.097 0.193 0.963
Tc4 Tc 0.403 0.807 0.463

***

# CaBiO2F | Alexandria via LeMat-Bulk | PBE-GGA | relaxed
# Uncorrected formation energy, eV/f.u.: -8.0
# Space group: P4/mmm
# Energy, Ry per atom: -0.377
data_CaBiO2F
_space_group_name_H-M_alt 'P 1'
_space_group_IT_number 1
_cell_length_a 4.422
_cell_length_b 4.422
_cell_length_c 4.091
_cell_angle_alpha 90.00
_cell_angle_beta 90.00
_cell_angle_gamma 90.00
loop_
_space_group_symop_operation_xyz
'x,y,z'
loop_
_atom_site_label
_atom_site_type_symbol
_atom_site_fract_x
_atom_site_fract_y
_atom_site_fract_z
Ca1 Ca 0.000 0.000 0.000
O1 O 0.500 0.000 0.000
O2 O 0.000 0.500 0.000
Bi1 Bi 0.500 0.500 0.500
F1 F 0.000 0.000 0.500

***

# Ca2AgW | Alexandria via LeMat-Bulk | PBE-GGA | relaxed
# Space group: C2/m
# Energy, Ry per atom: -0.305
# Formation energy, eV/atom: 0.803
# Offset from the most stable computed form, kJ per mole of atoms: 28.0
data_Ca2AgW
_space_group_name_H-M_alt 'P 1'
_space_group_IT_number 1
_cell_length_a 5.285
_cell_length_b 5.285
_cell_length_c 6.119
_cell_angle_alpha 81.49
_cell_angle_beta 81.49
_cell_angle_gamma 32.78
loop_
_space_group_symop_operation_xyz
'x,y,z'
loop_
_atom_site_label
_atom_site_type_symbol
_atom_site_fract_x
_atom_site_fract_y
_atom_site_fract_z
Ca1 Ca 0.999 0.999 0.009
Ca2 Ca 0.501 0.501 0.491
W1 W 0.250 0.250 0.250
Ag1 Ag 0.750 0.750 0.750

***

# Y4SiTe2S | Alexandria via LeMat-Bulk | PBE-GGA | relaxed
# Uncorrected formation energy, eV/f.u.: -11.5
# Space group: P2/m
# Energy, Ry per atom: -0.488
data_Y4SiTe2S
_space_group_name_H-M_alt 'P 1'
_space_group_IT_number 1
_cell_length_a 4.159
_cell_length_b 7.474
_cell_length_c 7.162
_cell_angle_alpha 71.11
_cell_angle_beta 90.00
_cell_angle_gamma 90.00
loop_
_space_group_symop_operation_xyz
'x,y,z'
loop_
_atom_site_label
_atom_site_type_symbol
_atom_site_fract_x
_atom_site_fract_y
_atom_site_fract_z
S1 S 0.500 0.500 0.000
Y1 Y 0.500 0.715 0.264
Y2 Y 0.500 0.285 0.736
Y3 Y 0.000 0.711 0.760
Y4 Y 0.000 0.289 0.240
Te1 Te 0.000 0.000 0.000
Te2 Te 0.500 0.000 0.500
Si1 Si 0.000 0.500 0.500

***

# Co2OsPt | Alexandria via LeMat-Bulk | PBE-GGA | relaxed
# Space group: R3m
# Energy, Ry per atom: -0.570
# Formation energy, eV/atom: 0.120
data_Co2OsPt
_space_group_name_H-M_alt 'P 1'
_space_group_IT_number 1
_cell_length_a 8.672
_cell_length_b 8.672
_cell_length_c 8.672
_cell_angle_alpha 17.73
_cell_angle_beta 17.73
_cell_angle_gamma 17.73
loop_
_space_group_symop_operation_xyz
'x,y,z'
loop_
_atom_site_label
_atom_site_type_symbol
_atom_site_fract_x
_atom_site_fract_y
_atom_site_fract_z
Co1 Co 0.994 0.994 0.994
Co2 Co 0.253 0.253 0.253
Os1 Os 0.506 0.506 0.506
Pt1 Pt 0.747 0.747 0.747

***

# AcSm6Dy5 | Alexandria via LeMat-Bulk | PBE-GGA | relaxed
# Space group: C2/m
# Energy, Ry per atom: -0.337
# Formation energy, eV/atom: 0.028
data_AcSm6Dy5
_space_group_name_H-M_alt 'P 1'
_space_group_IT_number 1
_cell_length_a 12.011
_cell_length_b 6.276
_cell_length_c 6.274
_cell_angle_alpha 59.99
_cell_angle_beta 85.00
_cell_angle_gamma 79.96
loop_
_space_group_symop_operation_xyz
'x,y,z'
loop_
_atom_site_label
_atom_site_type_symbol
_atom_site_fract_x
_atom_site_fract_y
_atom_site_fract_z
Dy1 Dy 0.000 0.667 0.667
Dy2 Dy 0.500 0.833 0.334
Dy3 Dy 0.000 0.333 0.333
Dy4 Dy 0.500 0.167 0.666
Dy5 Dy 0.500 0.500 0.000
Sm1 Sm 0.745 0.422 0.663
Sm2 Sm 0.255 0.251 0.000
Sm3 Sm 0.745 0.749 0.000
Sm4 Sm 0.255 0.915 0.663
Sm5 Sm 0.255 0.578 0.337
Sm6 Sm 0.745 0.085 0.337
Ac1 Ac 0.000 0.000 0.000

***

# TaTc2Pt | Alexandria via LeMat-Bulk | PBE-GGA | relaxed
# Space group: C2/m
# Energy, Ry per atom: -0.721
# Formation energy, eV/atom: -0.157
# Offset from the most stable computed form, kJ per mole of atoms: 19.4
data_TaTc2Pt
_space_group_name_H-M_alt 'P 1'
_space_group_IT_number 1
_cell_length_a 4.848
_cell_length_b 4.848
_cell_length_c 4.904
_cell_angle_alpha 81.11
_cell_angle_beta 81.11
_cell_angle_gamma 33.36
loop_
_space_group_symop_operation_xyz
'x,y,z'
loop_
_atom_site_label
_atom_site_type_symbol
_atom_site_fract_x
_atom_site_fract_y
_atom_site_fract_z
Tc1 Tc 0.004 0.004 0.992
Tc2 Tc 0.496 0.496 0.508
Ta1 Ta 0.250 0.250 0.250
Pt1 Pt 0.750 0.750 0.750

***

# DyThMnAg | Alexandria via LeMat-Bulk | PBE-GGA | relaxed
# Space group: F-43m
# Energy, Ry per atom: -0.437
# Formation energy, eV/atom: 0.064
data_DyThMnAg
_space_group_name_H-M_alt 'P 1'
_space_group_IT_number 1
_cell_length_a 5.128
_cell_length_b 5.128
_cell_length_c 5.128
_cell_angle_alpha 60.00
_cell_angle_beta 60.00
_cell_angle_gamma 60.00
loop_
_space_group_symop_operation_xyz
'x,y,z'
loop_
_atom_site_label
_atom_site_type_symbol
_atom_site_fract_x
_atom_site_fract_y
_atom_site_fract_z
Th1 Th 0.500 0.500 0.500
Ag1 Ag 0.250 0.250 0.250
Dy1 Dy 0.000 0.000 0.000
Mn1 Mn 0.750 0.750 0.750

***

# CeTl2Br3F3 | Alexandria via LeMat-Bulk | PBE-GGA | relaxed
# Uncorrected formation energy, eV/f.u.: -18.7
# Space group: P-62m
# Energy, Ry per atom: -0.327
data_CeTl2Br3F3
_space_group_name_H-M_alt 'P 1'
_space_group_IT_number 1
_cell_length_a 3.697
_cell_length_b 8.418
_cell_length_c 8.418
_cell_angle_alpha 120.00
_cell_angle_beta 90.00
_cell_angle_gamma 90.00
loop_
_space_group_symop_operation_xyz
'x,y,z'
loop_
_atom_site_label
_atom_site_type_symbol
_atom_site_fract_x
_atom_site_fract_y
_atom_site_fract_z
Br1 Br 0.000 0.625 0.625
Br2 Br 0.000 0.375 0.000
Br3 Br 0.000 0.000 0.375
Ce1 Ce 0.000 0.000 0.000
F1 F 0.500 0.000 0.824
F2 F 0.500 0.824 0.000
F3 F 0.500 0.176 0.176
Tl1 Tl 0.500 0.667 0.333
Tl2 Tl 0.500 0.333 0.667

***

# Ho3TmGa2 | Alexandria via LeMat-Bulk | PBE-GGA | relaxed
# Space group: C2/m
# Energy, Ry per atom: -0.320
# Formation energy, eV/atom: -0.316
# Offset from the most stable computed form, kJ per mole of atoms: 11.1
data_Ho3TmGa2
_space_group_name_H-M_alt 'P 1'
_space_group_IT_number 1
_cell_length_a 5.016
_cell_length_b 9.029
_cell_length_c 8.810
_cell_angle_alpha 124.40
_cell_angle_beta 90.00
_cell_angle_gamma 106.13
loop_
_space_group_symop_operation_xyz
'x,y,z'
loop_
_atom_site_label
_atom_site_type_symbol
_atom_site_fract_x
_atom_site_fract_y
_atom_site_fract_z
Ga1 Ga 0.517 0.035 0.882
Ga2 Ga 0.772 0.544 0.160
Ga3 Ga 0.228 0.456 0.840
Ga4 Ga 0.483 0.965 0.118
Ho1 Ho 0.622 0.245 0.732
Ho2 Ho 0.313 0.626 0.620
Ho3 Ho 0.939 0.879 0.596
Ho4 Ho 0.687 0.374 0.380
Ho5 Ho 0.378 0.755 0.268
Ho6 Ho 0.061 0.121 0.404
Tm1 Tm 0.130 0.259 0.069
Tm2 Tm 0.870 0.741 0.931

***

# YCrIn2 | Alexandria via LeMat-Bulk | PBE-GGA | relaxed
# Space group: Pmm2
# Energy, Ry per atom: -0.388
# Formation energy, eV/atom: 0.112
data_YCrIn2
_space_group_name_H-M_alt 'P 1'
_space_group_IT_number 1
_cell_length_a 3.570
_cell_length_b 3.877
_cell_length_c 6.842
_cell_angle_alpha 90.00
_cell_angle_beta 90.00
_cell_angle_gamma 90.00
loop_
_space_group_symop_operation_xyz
'x,y,z'
loop_
_atom_site_label
_atom_site_type_symbol
_atom_site_fract_x
_atom_site_fract_y
_atom_site_fract_z
Cr1 Cr 0.500 0.500 0.772
In1 In 0.000 0.000 0.978
In2 In 0.500 0.500 0.233
Y1 Y 0.000 0.000 0.517

***

# Ir2AuCSe | Alexandria via LeMat-Bulk | PBE-GGA | relaxed
# Uncorrected formation energy, eV/f.u.: 10.7
# Space group: P4/mmm
# Energy, Ry per atom: -0.338
data_Ir2AuCSe
_space_group_name_H-M_alt 'P 1'
_space_group_IT_number 1
_cell_length_a 5.107
_cell_length_b 3.693
_cell_length_c 5.107
_cell_angle_alpha 90.00
_cell_angle_beta 90.00
_cell_angle_gamma 90.00
loop_
_space_group_symop_operation_xyz
'x,y,z'
loop_
_atom_site_label
_atom_site_type_symbol
_atom_site_fract_x
_atom_site_fract_y
_atom_site_fract_z
Ir1 Ir 0.000 0.000 0.500
Ir2 Ir 0.500 0.000 0.000
Se1 Se 0.500 0.500 0.500
Au1 Au 0.000 0.000 0.000
C1 C 0.000 0.500 0.000

***

# DyMnPd2 | Alexandria via LeMat-Bulk | PBE-GGA | relaxed
# Space group: R-3m
# Energy, Ry per atom: -0.483
# Formation energy, eV/atom: -0.526
# Offset from the most stable computed form, kJ per mole of atoms: 0.4
data_DyMnPd2
_space_group_name_H-M_alt 'P 1'
_space_group_IT_number 1
_cell_length_a 4.488
_cell_length_b 4.488
_cell_length_c 5.067
_cell_angle_alpha 63.71
_cell_angle_beta 63.71
_cell_angle_gamma 60.00
loop_
_space_group_symop_operation_xyz
'x,y,z'
loop_
_atom_site_label
_atom_site_type_symbol
_atom_site_fract_x
_atom_site_fract_y
_atom_site_fract_z
Mn1 Mn 0.500 0.500 0.500
Pd1 Pd 0.779 0.779 0.664
Pd2 Pd 0.221 0.221 0.336
Dy1 Dy 0.000 0.000 0.000

***

# CePrHoGa | Alexandria via LeMat-Bulk | PBE-GGA | relaxed
# Space group: F-43m
# Energy, Ry per atom: -0.341
# Formation energy, eV/atom: -0.062
data_CePrHoGa
_space_group_name_H-M_alt 'P 1'
_space_group_IT_number 1
_cell_length_a 5.388
_cell_length_b 5.388
_cell_length_c 5.388
_cell_angle_alpha 60.00
_cell_angle_beta 60.00
_cell_angle_gamma 60.00
loop_
_space_group_symop_operation_xyz
'x,y,z'
loop_
_atom_site_label
_atom_site_type_symbol
_atom_site_fract_x
_atom_site_fract_y
_atom_site_fract_z
Ce1 Ce 0.000 0.000 0.000
Pr1 Pr 0.500 0.500 0.500
Ho1 Ho 0.750 0.750 0.750
Ga1 Ga 0.250 0.250 0.250